Record 1
Here is crystalline Nd2Dy6Tm3Tl at its relaxed geometry from Alexandria. Energies are from PBE-GGA.

## Properties
crystal system = monoclinic
formation energy from the elements = -27 meV per atom
symmetry = C2/m

abc: 6.0832 6.0832 11.7062
angles: 94.98 94.98 120.03
Last column: nearest neighbours and their distance in Å.
Sites, in units of the cell vectors:
1 Dy 0.4120 0.0838 0.2524  6 Dy 3.46-3.54, 3 Tm 3.49-3.52, 1 Tl 3.53, 2 Nd 3.56
2 Dy 0.7558 0.7558 0.2534  6 Dy 3.46-3.54, 3 Tm 3.48-3.51, 1 Tl 3.54, 2 Nd 3.56
3 Dy 0.5880 0.9162 0.7476  6 Dy 3.46-3.54, 3 Tm 3.49-3.52, 1 Tl 3.53, 2 Nd 3.56
4 Nd 0.3339 0.6661 0.0000  3 Nd 3.50-3.52, 3 Tl 3.51-3.52, 6 Dy 3.56
5 Tm 0.1666 0.8334 0.5000  6 Dy 3.48-3.52, 6 Tm 3.51
6 Dy 0.2442 0.2442 0.7466  6 Dy 3.46-3.54, 3 Tm 3.48-3.51, 1 Tl 3.54, 2 Nd 3.56
7 Tm 0.5000 0.5000 0.5000  6 Dy 3.49-3.51, 6 Tm 3.51
8 Dy 0.9162 0.5880 0.7476  6 Dy 3.46-3.54, 3 Tm 3.49-3.52, 1 Tl 3.53, 2 Nd 3.56
9 Nd 0.6661 0.3339 0.0000  3 Nd 3.50-3.52, 3 Tl 3.51-3.52, 6 Dy 3.56
10 Dy 0.0838 0.4120 0.2524  6 Dy 3.46-3.54, 3 Tm 3.49-3.52, 1 Tl 3.53, 2 Nd 3.56
11 Tm 0.8334 0.1666 0.5000  6 Dy 3.48-3.52, 6 Tm 3.51
12 Tl 0.0000 0.0000 0.0000  6 Nd 3.51-3.52, 6 Dy 3.53-3.54

Record 2
Here is crystalline RbCdSn at its relaxed geometry from Alexandria. Energies are from PBE-GGA.

## Properties
crystal system = tetragonal
formation energy from the elements = -14 meV per atom
symmetry = I4mm

abc: 4.1610 4.1610 7.1723
angles: 106.86 106.86 90.00
Last column: nearest neighbours and their distance in Å.
Sites, in units of the cell vectors:
1 Sn 0.2807 0.2807 0.5614  4 Cd 3.04
2 Cd 0.7218 0.7218 0.4437  4 Sn 3.04
3 Rb 0.9974 0.9974 0.9949  1 Cd 3.61, 1 Sn 3.71

Record 3
Here is crystalline BiBPS2 at its relaxed geometry from Alexandria. Energies are from PBE-GGA.

## Properties
uncorrected formation energy = 261 kJ/mol of formula units
crystal system = tetragonal
symmetry = P4/mmm

abc: 4.4081 4.4081 4.2382
angles: 90.00 90.00 90.00
Last column: nearest neighbours and their distance in Å.
Sites, in units of the cell vectors:
1 Bi 0.5000 0.5000 0.5000  8 S 3.06, 4 P 3.12
2 S 0.5000 0.0000 0.0000  2 B 2.20
3 P 0.0000 0.0000 0.5000  2 B 2.12
4 S 0.0000 0.5000 0.0000  2 B 2.20
5 B 0.0000 0.0000 0.0000  2 P 2.12, 4 S 2.20

Calculated VASP energy, -4.4378; -1.9755; -4.3034 eV/atom (same order as the records).
Calculated D(E_F), 15.56; 2.30; 2.50 states/eV/f.u. (same order as the records).